# 1
VASP calculation (PBE) on a relaxed structure of K3TaBr.

Unit cell a=6.1886 b=6.1886 c=6.1886 alpha=90.00 beta=90.00 gamma=90.00
Last column: magnetic moment on the atom in μB.
Positions (direct):
K 0.0000 0.5000 0.0000  0.03
K 0.0000 0.0000 0.5000  0.03
K 0.5000 0.0000 0.0000  0.02
Br 0.0000 0.0000 0.0000  0.03
Ta 0.5000 0.5000 0.5000  2.40

**Final energy**: -2.79 eV per atom
**Symmetry**: No. 221
**Raw formation energy**: 0.5686 eV per atom
**Total magnetization**: 5.0 μB per cell

=====

# 2
VASP calculation (PBE) on a relaxed structure of Hf3FeH6.

Unit cell a=4.2155 b=6.6181 c=6.6181 alpha=99.78 beta=90.00 gamma=90.00
Last column: magnetic moment on the atom in μB.
Positions (direct):
Hf 0.4706 0.9132 0.6729  -0.03
Hf 0.9706 0.6729 0.9132  -0.03
Hf 0.4631 0.3818 0.6182  0.03
Hf 0.9631 0.6182 0.3818  0.03
Hf 0.9706 0.0868 0.3271  -0.03
Hf 0.4706 0.3271 0.0868  -0.03
Fe 0.9690 0.1626 0.8374  0.52
Fe 0.4690 0.8374 0.1626  0.52
H 0.2188 0.6458 0.6441  0.00
H 0.7188 0.6441 0.6458  0.00
H 0.1790 0.3932 0.8653  0.00
H 0.6790 0.8653 0.3932  0.00
H 0.2120 0.0344 0.9656  0.00
H 0.6046 0.1951 0.8049  0.00
H 0.1046 0.8049 0.1951  0.00
H 0.7120 0.9656 0.0344  0.00
H 0.1790 0.1347 0.6068  0.00
H 0.6790 0.6068 0.1347  0.00
H 0.2188 0.3559 0.3542  0.00
H 0.7188 0.3542 0.3559  0.00

**Final energy**: -6.13 eV per atom
**Symmetry**: No. 36
**Total magnetization**: 1.0 μB per cell

=====

# 3
VASP calculation (PBE) on a relaxed structure of Mg4ZnSb.

Unit cell a=5.8041 b=5.8041 c=5.8041 alpha=60.00 beta=60.00 gamma=60.00
Positions (direct):
Mg 0.8748 0.3751 0.3751
Mg 0.3751 0.3751 0.8748
Mg 0.3751 0.8748 0.3751
Mg 0.3751 0.3751 0.3751
Zn 0.0000 0.0000 0.0000
Sb 0.7500 0.7500 0.7500

**Final energy**: -1.84 eV per atom
**Symmetry**: No. 216
**Raw formation energy**: 0.1183 eV per atom
**Total magnetization**: 0.0 μB per cell

=====

# 4
VASP calculation (PBE) on a relaxed structure of FeSiBP.

Unit cell a=4.9027 b=3.3491 c=6.9322 alpha=90.00 beta=108.60 gamma=90.00
Positions (direct):
P 0.1080 0.0000 0.5391
P 0.1080 0.5000 0.0391
Si 0.5925 0.0000 0.6213
Si 0.5925 0.5000 0.1213
B 0.8043 0.0000 0.2748
B 0.8043 0.5000 0.7748
Fe 0.8120 0.0000 0.9765
Fe 0.8120 0.5000 0.4765

**Final energy**: -6.50 eV per atom
**Symmetry**: No. 8
**Raw formation energy**: -0.0054 eV per atom
**Total magnetization**: 0.0 μB per cell

=====

# 5
VASP calculation (PBE) on a relaxed structure of YIn2Pd.

Unit cell a=4.2711 b=4.2711 c=11.1401 alpha=78.95 beta=78.95 gamma=90.00
Positions (direct):
Y 0.5000 0.5000 0.0000
Y 0.2500 0.7500 0.5000
Pd 0.0000 0.0000 0.0000
Pd 0.7500 0.2500 0.5000
In 0.6432 0.1250 0.2500
In 0.1068 0.6250 0.2500
In 0.3750 0.3568 0.7500
In 0.8750 0.8932 0.7500

**Energy of formation from the pure elements**: -1.2 eV/f.u.
**Final energy**: -4.58 eV per atom
**Symmetry**: No. 122
**Total magnetization**: 0.0 μB per cell

=====

# 6
VASP calculation (PBE) on a relaxed structure of LaMnSb3.

Unit cell a=5.1757 b=5.1757 c=5.1757 alpha=90.00 beta=90.00 gamma=90.00
Last column: magnetic moment on the atom in μB.
Positions (direct):
Sb 0.0000 0.5000 0.0000  0.01
Sb 0.0000 0.0000 0.5000  0.00
Sb 0.5000 0.0000 0.0000  -0.01
Mn 0.0000 0.0000 0.0000  3.09
La 0.5000 0.5000 0.5000  0.13

**Final energy**: -5.51 eV per atom
**Symmetry**: No. 221
**Raw formation energy**: -0.2193 eV per atom
**Total magnetization**: 3.6 μB per cell

=====

# 7
VASP calculation (PBE) on a relaxed structure of Ce6Ga2N.

Unit cell a=6.3997 b=6.3992 c=10.0388 alpha=90.00 beta=90.00 gamma=90.00
Last column: magnetic moment on the atom in μB.
Positions (direct):
Ce 0.0000 0.9999 0.2678  0.34
Ce 0.7254 0.7254 0.5000  0.34
Ce 0.7746 0.7745 0.0000  0.34
Ce 0.7254 0.2745 0.5000  0.34
Ce 0.7746 0.2254 0.0000  0.34
Ce 0.5000 0.4999 0.2322  0.34
Ce 0.0000 0.0001 0.7322  0.34
Ce 0.2746 0.2746 0.5000  0.34
Ce 0.2254 0.2255 0.0000  0.34
Ce 0.2746 0.7255 0.5000  0.34
Ce 0.2254 0.7746 0.0000  0.34
Ce 0.5000 0.5001 0.7678  0.34
Ga 0.0001 0.5000 0.7501  -0.01
Ga 0.4999 0.0000 0.7499  -0.01
Ga 0.5001 0.0000 0.2501  -0.01
Ga 0.9999 0.5000 0.2499  -0.01
N 0.5000 0.5000 0.0000  -0.02
N 0.0000 0.0000 0.5000  -0.02

**Final energy**: -6.09 eV per atom
**Symmetry**: No. 139
**Raw formation energy**: -0.5357 eV per atom
**Total magnetization**: 4.9 μB per cell

=====

# 8
VASP calculation (PBE) on a relaxed structure of YTm2Ga9.

Unit cell a=4.2525 b=4.2525 c=12.7453 alpha=90.00 beta=90.00 gamma=90.00
Positions (direct):
Y 0.0000 0.0000 0.0000
Tm 0.0000 0.0000 0.3343
Tm 0.0000 0.0000 0.6657
Ga 0.5000 0.5000 0.0000
Ga 0.5000 0.5000 0.3335
Ga 0.5000 0.5000 0.6665
Ga 0.5000 0.0000 0.1689
Ga 0.5000 0.0000 0.5000
Ga 0.5000 0.0000 0.8311
Ga 0.0000 0.5000 0.1689
Ga 0.0000 0.5000 0.5000
Ga 0.0000 0.5000 0.8311

**Energy of formation from the pure elements**: -6.3 eV/f.u.
**Final energy**: -4.08 eV per atom
**Symmetry**: No. 123
**Total magnetization**: 0.0 μB per cell

=====

# 9
VASP calculation (PBE) on a relaxed structure of Th4IrC2S.

Unit cell a=3.8560 b=6.7952 c=6.9957 alpha=108.17 beta=90.00 gamma=90.00
Positions (direct):
Th 0.5000 0.2652 0.2811
Th 0.5000 0.7348 0.7189
Th 0.0000 0.2429 0.7181
Th 0.0000 0.7571 0.2819
Ir 0.5000 0.5000 0.0000
C 0.5000 0.0000 0.5000
C 0.0000 0.5000 0.5000
S 0.0000 0.0000 0.0000

**Final energy**: -8.47 eV per atom
**Symmetry**: No. 10
**Raw formation energy**: -0.8333 eV per atom
**Total magnetization**: 0.0 μB per cell

=====

# 10
VASP calculation (PBE) on a relaxed structure of Hg3PbS4.

Unit cell a=4.2543 b=7.2050 c=7.2050 alpha=94.15 beta=90.00 gamma=90.00
Positions (direct):
Pb 0.0000 0.5263 0.4737
S 0.0000 0.8470 0.7403
S 0.5000 0.7550 0.2450
S 0.5000 0.3494 0.6506
S 0.0000 0.2597 0.1530
Hg 0.5000 0.3764 0.0076
Hg 0.5000 0.9924 0.6236
Hg 0.0000 0.8938 0.1062

**Final energy**: -2.81 eV per atom
**Symmetry**: No. 38
**Raw formation energy**: -0.1661 eV per atom
**Total magnetization**: 0.0 μB per cell

=====

# 11
VASP calculation (PBE) on a relaxed structure of ZrMoAsBr2.

Unit cell a=5.0860 b=5.0860 c=5.0052 alpha=90.00 beta=90.00 gamma=90.00
Last column: magnetic moment on the atom in μB.
Positions (direct):
As 0.0000 0.0000 0.5000  -0.11
Mo 0.0000 0.0000 0.0000  1.86
Br 0.0000 0.5000 0.0000  0.01
Br 0.5000 0.0000 0.0000  0.01
Zr 0.5000 0.5000 0.5000  1.45

**Final energy**: -4.88 eV per atom
**Symmetry**: No. 123
**Raw formation energy**: 0.5919 eV per atom
**Total magnetization**: 4.2 μB per cell

=====

# 12
VASP calculation (PBE) on a relaxed structure of PmHo5Th.

Unit cell a=6.1348 b=9.2999 c=8.6416 alpha=85.92 beta=77.55 gamma=70.74
Positions (direct):
Pm 0.5125 0.9749 0.7500
Pm 0.4875 0.0251 0.2500
Ho 0.3900 0.6258 0.8543
Ho 0.4609 0.3152 0.5397
Ho 0.0159 0.3742 0.3543
Ho 0.8523 0.2954 0.7500
Ho 0.2239 0.3152 0.9603
Ho 0.7761 0.6848 0.0397
Ho 0.1477 0.7046 0.2500
Ho 0.9841 0.6258 0.6457
Ho 0.5391 0.6848 0.4603
Ho 0.6100 0.3742 0.1457
Th 0.0000 0.0000 0.0000
Th 0.0000 0.0000 0.5000

**Energy of formation from the pure elements**: 1.3 eV/f.u.
**Final energy**: -4.82 eV per atom
**Symmetry**: No. 15
**Total magnetization**: 0.0 μB per cell

=====

# 13
VASP calculation (PBE) on a relaxed structure of Al4Co2Ru.

Unit cell a=4.1208 b=4.1208 c=6.9377 alpha=72.72 beta=72.72 gamma=60.00
Positions (direct):
Ru 0.0000 0.0000 0.0000
Co 0.7470 0.7470 0.7589
Co 0.2530 0.2530 0.2411
Al 0.8700 0.8700 0.3899
Al 0.1300 0.1300 0.6101
Al 0.6170 0.6170 0.1491
Al 0.3830 0.3830 0.8509

**Energy of formation from the pure elements**: -3.5 eV/f.u.
**Final energy**: -6.00 eV per atom
**Symmetry**: No. 166
**Total magnetization**: 0.0 μB per cell

=====

# 14
VASP calculation (PBE) on a relaxed structure of P3IrRu3.

Unit cell a=2.9500 b=10.8327 c=12.0562 alpha=90.00 beta=90.00 gamma=90.00
Positions (direct):
P 0.7500 0.9633 0.9078
P 0.2500 0.5367 0.4078
P 0.2500 0.0367 0.0922
P 0.7500 0.4633 0.5922
P 0.7500 0.8746 0.4079
P 0.2500 0.6254 0.9079
P 0.2500 0.1254 0.5921
P 0.7500 0.3746 0.0921
P 0.7500 0.7160 0.1574
P 0.2500 0.7840 0.6574
P 0.2500 0.2840 0.8426
P 0.7500 0.2160 0.3426
Ir 0.7500 0.9211 0.2106
Ir 0.2500 0.5789 0.7106
Ir 0.2500 0.0789 0.7894
Ir 0.7500 0.4211 0.2894
Ru 0.7500 0.7722 0.8249
Ru 0.2500 0.7278 0.3249
Ru 0.2500 0.2278 0.1751
Ru 0.7500 0.2722 0.6751
Ru 0.7500 0.1694 0.9789
Ru 0.2500 0.3306 0.4789
Ru 0.2500 0.8306 0.0211
Ru 0.7500 0.6694 0.5211
Ru 0.7500 0.9340 0.5925
Ru 0.2500 0.5660 0.0925
Ru 0.2500 0.0660 0.4075
Ru 0.7500 0.4340 0.9075

**Energy of formation from the pure elements**: -2.3 eV/f.u.
**Final energy**: -7.89 eV per atom
**Symmetry**: No. 62
**Total magnetization**: 0.0 μB per cell

=====

# 15
VASP calculation (PBE) on a relaxed structure of KAcNbN3.

Unit cell a=4.0870 b=7.3616 c=7.8569 alpha=104.69 beta=90.00 gamma=106.12
Last column: magnetic moment on the atom in μB.
Positions (direct):
K 0.3332 0.6665 0.9273  0.00
K 0.6668 0.3335 0.0727  0.00
Ac 0.6466 0.2932 0.5725  0.03
Ac 0.3534 0.7068 0.4275  0.03
Nb 0.0077 0.0155 0.2178  -0.05
Nb 0.9923 0.9845 0.7822  -0.05
N 0.8702 0.7403 0.2253  0.17
N 0.8469 0.6939 0.6381  0.15
N 0.5092 0.0185 0.2728  0.19
N 0.1531 0.3061 0.3619  0.15
N 0.4908 0.9815 0.7272  0.19
N 0.1298 0.2597 0.7747  0.17

**Final energy**: -7.27 eV per atom
**Symmetry**: No. 12
**Raw formation energy**: -0.5586 eV per atom
**Total magnetization**: 1.4 μB per cell

=====

# 16
VASP calculation (PBE) on a relaxed structure of La2TbY2Mg.

Unit cell a=3.6116 b=11.7355 c=10.9308 alpha=90.00 beta=90.00 gamma=90.00
Positions (direct):
La 0.5000 0.0625 0.2516
La 0.0000 0.5625 0.2484
La 0.5000 0.9375 0.7484
La 0.0000 0.4375 0.7516
Tb 0.5000 0.5000 0.0000
Tb 0.0000 0.0000 0.5000
Y 0.5000 0.7674 0.4282
Y 0.5000 0.2326 0.5718
Y 0.0000 0.7326 0.9282
Y 0.0000 0.2674 0.0718
Mg 0.0000 0.0000 0.0000
Mg 0.5000 0.5000 0.5000

**Energy of formation from the pure elements**: 2.7 eV/f.u.
**Final energy**: -4.39 eV per atom
**Symmetry**: No. 58
**Total magnetization**: 0.0 μB per cell

=====

# 17
VASP calculation (PBE) on a relaxed structure of TcOs3.

Unit cell a=4.9167 b=4.9167 c=4.9167 alpha=90.00 beta=90.00 gamma=90.00
Positions (direct):
Tc 0.0000 0.0000 0.0000
Tc 0.5000 0.5000 0.5000
Os 0.0000 0.2500 0.5000
Os 0.0000 0.7500 0.5000
Os 0.2500 0.5000 0.0000
Os 0.5000 0.0000 0.2500
Os 0.5000 0.0000 0.7500
Os 0.7500 0.5000 0.0000

**Energy of formation from the pure elements**: 2.1 eV/f.u.
**Final energy**: -10.50 eV per atom
**Symmetry**: No. 223
**Total magnetization**: 0.0 μB per cell

=====

# 18
VASP calculation (PBE) on a relaxed structure of CoSb2C2.

Unit cell a=6.5097 b=6.5097 c=3.4749 alpha=90.00 beta=90.00 gamma=90.00
Last column: magnetic moment on the atom in μB.
Positions (direct):
Sb 0.1611 0.6611 0.5000  0.02
Sb 0.6611 0.8389 0.5000  0.01
Sb 0.8389 0.3389 0.5000  0.02
Sb 0.3389 0.1611 0.5000  0.01
C 0.3040 0.8040 0.0000  0.04
C 0.8040 0.6960 0.0000  0.03
C 0.6960 0.1960 0.0000  0.04
C 0.1960 0.3040 0.0000  0.03
Co 0.0000 0.0000 0.0000  1.26
Co 0.5000 0.5000 0.0000  1.28

**Final energy**: -5.22 eV per atom
**Symmetry**: No. 127
**Raw formation energy**: 1.5367 eV per atom
**Total magnetization**: 2.8 μB per cell

=====

# 19
VASP calculation (PBE) on a relaxed structure of Sr3Cr.

Unit cell a=5.5212 b=5.5212 c=5.5212 alpha=90.00 beta=90.00 gamma=90.00
Last column: magnetic moment on the atom in μB.
Positions (direct):
Sr 0.0000 0.5000 0.5000  0.00
Sr 0.5000 0.0000 0.5000  0.00
Sr 0.5000 0.5000 0.0000  0.00
Cr 0.0000 0.0000 0.0000  4.04

**Energy of formation from the pure elements**: 1.9 eV/f.u.
**Final energy**: -3.18 eV per atom
**Symmetry**: No. 221
**Total magnetization**: 4.9 μB per cell

=====

# 20
VASP calculation (PBE) on a relaxed structure of La7Al2Sn2.

Unit cell a=7.1243 b=7.7633 c=7.1243 alpha=90.00 beta=108.37 gamma=90.00
Positions (direct):
La 0.0000 0.3057 0.5000
La 0.5000 0.6943 0.0000
La 0.0000 0.6943 0.5000
La 0.5000 0.3057 0.0000
La 0.0000 0.0000 0.0000
La 0.5000 0.7220 0.5000
La 0.5000 0.2780 0.5000
Al 0.8422 0.5000 0.8422
Al 0.1578 0.5000 0.1578
Sn 0.7109 0.0000 0.2891
Sn 0.2891 0.0000 0.7109

**Energy of formation from the pure elements**: -2.7 eV/f.u.
**Final energy**: -4.79 eV per atom
**Symmetry**: No. 65
**Total magnetization**: 0.0 μB per cell

=====

# 21
VASP calculation (PBE) on a relaxed structure of Y4Zr5.

Unit cell a=9.0965 b=9.0965 c=6.6294 alpha=90.00 beta=90.00 gamma=60.00
Positions (direct):
Y 0.0000 0.0000 0.0000
Y 0.0000 0.0000 0.5000
Y 0.6685 0.3315 0.2500
Y 0.0000 0.6685 0.2500
Y 0.3315 0.0000 0.2500
Y 0.3315 0.6685 0.7500
Y 0.0000 0.3315 0.7500
Y 0.6685 0.0000 0.7500
Zr 0.3476 0.6524 0.2500
Zr 0.0000 0.3476 0.2500
Zr 0.6524 0.0000 0.2500
Zr 0.6524 0.3476 0.7500
Zr 0.0000 0.6524 0.7500
Zr 0.3476 0.0000 0.7500
Zr 0.3333 0.3333 0.0000
Zr 0.6667 0.6667 0.5000
Zr 0.6667 0.6667 0.0000
Zr 0.3333 0.3333 0.5000

**Energy of formation from the pure elements**: 1.3 eV/f.u.
**Final energy**: -7.47 eV per atom
**Symmetry**: No. 193
**Total magnetization**: 0.0 μB per cell

=====

# 22
VASP calculation (PBE) on a relaxed structure of KSrTi2C.

Unit cell a=4.4828 b=5.8424 c=4.4828 alpha=90.00 beta=90.00 gamma=90.00
Last column: magnetic moment on the atom in μB.
Positions (direct):
Sr 0.0000 0.5000 0.0000  0.01
K 0.0000 0.0000 0.0000  0.13
C 0.5000 0.5000 0.5000  -0.28
Ti 0.0000 0.0000 0.5000  0.64
Ti 0.5000 0.0000 0.0000  0.63

**Energy of formation from the pure elements**: 14.3 eV/f.u.
**Final energy**: -2.71 eV per atom
**Symmetry**: No. 123
**Total magnetization**: 1.3 μB per cell